[1]
TlTc2P: optimized geometry, PBE-GGA.

Lattice parameters (Å, degrees): 4.223 4.223 9.150 76.66 76.66 90.00
Fractional positions:
Tl 0.000 0.000 0.000
Tl 0.750 0.250 0.500
Tc 0.875 0.768 0.750
Tc 0.232 0.625 0.250
Tc 0.375 0.482 0.750
Tc 0.518 0.125 0.250
P 0.500 0.500 0.000
P 0.250 0.750 0.500

Properties
**Crystal system**: tetragonal
**Energy of formation from the pure elements**: 0.5670 eV/atom
**Polymorph energy (0 for the lowest one)**: 0.5228 eV/atom



[2]
CePmZn: optimized geometry, PBE-GGA.

Lattice parameters (Å, degrees): 3.588 4.937 4.937 120.00 90.00 90.00
Fractional positions:
Pm 0.645 0.667 0.333
Ce 0.012 0.000 0.000
Zn 0.343 0.333 0.667

Properties
**Crystal system**: trigonal
**Energy of formation from the pure elements**: -0.0180 eV/atom
**Polymorph energy (0 for the lowest one)**: 0.1201 eV/atom



[3]
CoRh: optimized geometry, PBE-GGA.

Lattice parameters (Å, degrees): 3.712 5.918 3.674 71.92 90.00 90.00
Fractional positions:
Co 0.000 0.667 0.667
Co 0.000 0.000 0.000
Co 0.500 0.333 0.833
Rh 0.500 0.667 0.166
Rh 0.500 0.000 0.500
Rh 0.000 0.333 0.333

Properties
**Crystal system**: orthorhombic
**Energy of formation from the pure elements**: 0.0709 eV/atom



[4]
Zn2Sb2Te: optimized geometry, PBE-GGA.

Lattice parameters (Å, degrees): 8.700 8.700 3.218 90.00 90.00 90.00
Fractional positions:
Zn 0.362 0.138 0.500
Zn 0.638 0.862 0.500
Zn 0.862 0.362 0.500
Zn 0.138 0.638 0.500
Sb 0.341 0.841 0.000
Sb 0.159 0.341 0.000
Sb 0.841 0.659 0.000
Sb 0.659 0.159 0.000
Te 0.500 0.500 0.000
Te 0.000 0.000 0.000

Properties
**E_form (uncorrected)**: 0.1626 eV/atom
**Crystal system**: tetragonal
**Polymorph energy (0 for the lowest one)**: 0.0322 eV/atom



[5]
FeRe2Ir: optimized geometry, PBE-GGA.

Lattice parameters (Å, degrees): 3.790 3.790 3.838 90.00 90.00 90.00
Fractional positions:
Ir 0.000 0.500 0.500
Re 0.000 0.000 0.000
Re 0.500 0.500 0.000
Fe 0.500 0.000 0.500

Properties
**Crystal system**: tetragonal
**Energy of formation from the pure elements**: -0.0365 eV/atom
**Polymorph energy (0 for the lowest one)**: 0.0148 eV/atom



[6]
Zr2ScAu: optimized geometry, PBE-GGA.

Lattice parameters (Å, degrees): 5.328 5.328 3.200 90.00 90.00 109.71
Fractional positions:
Zr 0.000 0.000 0.000
Zr 0.500 0.500 0.000
Sc 0.000 0.500 0.500
Au 0.500 0.000 0.500

Properties
**Crystal system**: orthorhombic
**Energy of formation from the pure elements**: -0.1663 eV/atom



[7]
PuPa5Tc4: optimized geometry, PBE-GGA.

Lattice parameters (Å, degrees): 3.409 3.409 18.003 90.00 90.00 90.00
Fractional positions:
Pa 0.500 0.500 0.307
Pa 0.500 0.500 0.889
Pa 0.500 0.500 0.693
Pa 0.500 0.500 0.500
Pa 0.500 0.500 0.111
Tc 0.000 0.000 0.596
Tc 0.000 0.000 0.201
Tc 0.000 0.000 0.799
Tc 0.000 0.000 0.404
Pu 0.000 0.000 0.000

Properties
**Crystal system**: tetragonal
**Energy of formation from the pure elements**: -0.1126 eV/atom



[8]
Nd7Y12Ho: optimized geometry, PBE-GGA.

Lattice parameters (Å, degrees): 9.831 9.831 9.831 109.47 109.47 109.47
Fractional positions:
Y 0.247 0.000 0.753
Y 0.247 0.753 0.000
Y 0.247 0.247 0.494
Y 0.753 0.753 0.506
Y 0.247 0.494 0.247
Y 0.000 0.753 0.247
Y 0.753 0.506 0.753
Y 0.753 0.000 0.247
Y 0.753 0.247 0.000
Y 0.494 0.247 0.247
Y 0.506 0.753 0.753
Y 0.000 0.247 0.753
Nd 0.500 0.000 0.500
Nd 0.500 0.000 0.000
Nd 0.000 0.500 0.500
Nd 0.000 0.000 0.500
Nd 0.500 0.500 0.500
Nd 0.000 0.500 0.000
Nd 0.500 0.500 0.000
Ho 0.000 0.000 0.000

Properties
**Crystal system**: cubic
**Energy of formation from the pure elements**: 0.6307 eV/atom
**Polymorph energy (0 for the lowest one)**: 0.4001 eV/atom



[9]
Ho3Mg2Hg7: optimized geometry, PBE-GGA.

Lattice parameters (Å, degrees): 5.070 4.970 12.363 101.60 90.00 90.00
Fractional positions:
Ho 0.500 0.660 0.319
Ho 0.500 0.500 0.000
Ho 0.500 0.340 0.681
Mg 0.000 0.848 0.696
Mg 0.000 0.152 0.304
Hg 0.000 0.724 0.448
Hg 0.500 0.086 0.171
Hg 0.000 0.421 0.842
Hg 0.000 0.579 0.158
Hg 0.000 0.276 0.552
Hg 0.500 0.914 0.829
Hg 0.000 0.000 0.000

Properties
**Crystal system**: orthorhombic
**Energy of formation from the pure elements**: -0.2144 eV/atom



[10]
Tb3PmIn: optimized geometry, PBE-GGA.

Lattice parameters (Å, degrees): 5.978 8.087 8.089 120.00 90.00 90.00
Fractional positions:
Tb 0.250 0.806 0.193
Tb 0.250 0.806 0.613
Tb 0.750 0.194 0.807
Tb 0.750 0.194 0.387
Tb 0.750 0.613 0.806
Tb 0.250 0.387 0.194
Pm 0.750 0.667 0.333
Pm 0.250 0.333 0.667
In 0.000 0.000 0.000
In 0.500 0.000 0.000

Properties
**Crystal system**: hexagonal
**Energy of formation from the pure elements**: 0.0779 eV/atom
**Polymorph energy (0 for the lowest one)**: 0.2609 eV/atom



[11]
HoHfIn: optimized geometry, PBE-GGA.

Lattice parameters (Å, degrees): 3.091 5.198 5.198 120.00 90.00 90.00
Fractional positions:
In 0.667 0.667 0.333
Ho 0.168 0.333 0.667
Hf 0.165 0.000 0.000

Properties
**Crystal system**: trigonal
**Energy of formation from the pure elements**: 0.1374 eV/atom
**Polymorph energy (0 for the lowest one)**: 0.3111 eV/atom



[12]
Dy8CuTe4P3: optimized geometry, PBE-GGA.

Lattice parameters (Å, degrees): 8.279 8.479 8.279 119.22 120.00 90.00
Fractional positions:
Dy 0.264 0.291 0.527
Dy 0.736 0.715 0.975
Dy 0.761 0.285 0.521
Dy 0.239 0.715 0.975
Dy 0.239 0.715 0.479
Dy 0.264 0.285 0.025
Dy 0.736 0.709 0.473
Dy 0.761 0.285 0.025
Te 0.500 0.000 0.500
Te 0.000 0.000 0.500
Te 0.000 0.000 0.000
Te 0.500 0.000 0.000
P 0.000 0.500 0.500
P 0.500 0.500 0.500
P 0.500 0.500 0.000
Cu 0.000 0.500 0.000

Properties
**E_form (uncorrected)**: -1.3247 eV/atom
**Crystal system**: trigonal



[13]
LaDy6Y3Er2: optimized geometry, PBE-GGA.

Lattice parameters (Å, degrees): 6.164 6.164 11.817 94.98 94.98 119.95
Fractional positions:
Dy 0.084 0.419 0.251
Dy 0.749 0.749 0.251
Dy 0.581 0.916 0.749
Dy 0.916 0.581 0.749
Dy 0.419 0.084 0.251
Dy 0.251 0.251 0.749
La 0.000 0.000 0.000
Er 0.333 0.667 0.000
Er 0.667 0.333 0.000
Y 0.833 0.167 0.500
Y 0.167 0.833 0.500
Y 0.500 0.500 0.500

Properties
**Crystal system**: monoclinic
**Energy of formation from the pure elements**: 0.0232 eV/atom